Record 1
Compound: TbPm4Tl3
Source: Alexandria via LeMat-Bulk
Functional: GGA-PBE
Structure: optimized geometry

Lattice parameters (Å, degrees): 5.4922 5.4922 28.0312 90.00 90.00 120.00
Space group R-3m (No. 166, hexagonal axes)
Unique sites:
Tb 0.0000 0.0000 0.0000 (multiplicity 3)
Pm 0.0000 0.0000 0.1312 (multiplicity 6)
Pm 0.0000 0.0000 0.3872 (multiplicity 6)
Tl 0.0000 0.0000 0.2654 (multiplicity 6)
Tl 0.0000 0.0000 0.5000 (multiplicity 3)

Energy relative to the elements, eV/f.u.: -1.92
Total magnetization, μB per formula unit: 1.8

***

Record 2
Compound: LiV4S8
Source: Alexandria via LeMat-Bulk
Functional: GGA-PBE
Structure: optimized geometry

Lattice parameters (Å, degrees): 9.727 9.727 9.727 90.00 90.00 90.00
Space group F-43m (No. 216)
Unique sites:
Li 0.000 0.000 0.000 (multiplicity 4)
V 0.113 0.113 0.613 (multiplicity 16)
S 0.127 0.127 0.373 (multiplicity 16)
S 0.137 0.137 0.863 (multiplicity 16)

Relative energy among the computed polymorphs, kJ/mol of atoms: 5.0
Formation energy without anion corrections, eV per atom: -0.89
Total magnetization, μB per formula unit: 5.0

***

Record 3
Compound: CuPd2I
Source: Alexandria via LeMat-Bulk
Functional: GGA-PBE
Structure: optimized geometry

Lattice parameters (Å, degrees): 4.009 4.009 18.560 90.00 90.00 90.00
Space group I-42d (No. 122)
Unique sites:
Cu 0.000 0.000 0.000 (multiplicity 4)
Pd 0.243 0.250 0.125 (multiplicity 8)
I 0.000 0.000 0.500 (multiplicity 4)

Relative energy among the computed polymorphs, kJ/mol of atoms: 0.0
Formation energy without anion corrections, eV per atom: 0.24
Total magnetization, μB per formula unit: 0.0

***

Record 4
Compound: CsPb4O8
Source: Alexandria via LeMat-Bulk
Functional: GGA-PBE
Structure: optimized geometry

Lattice parameters (Å, degrees): 16.061 3.510 11.328 90.00 134.52 90.00
Space group C2/m (No. 12)
Unique sites:
Cs 0.000 0.000 0.000 (multiplicity 2)
Pb 0.151 0.000 0.487 (multiplicity 4)
Pb 0.163 0.500 0.816 (multiplicity 4)
O 0.041 0.000 0.713 (multiplicity 4)
O 0.156 0.500 0.361 (multiplicity 4)
O 0.162 0.500 0.621 (multiplicity 4)
O 0.207 0.500 0.054 (multiplicity 4)

Formation energy without anion corrections, eV per atom: -1.01
Total magnetization, μB per formula unit: 0.0

***

The highest total magnetization belongs to which entry? LiV4S8